Entry 1:
DFT (PBE) results for an optimized crystal structure of Be2InCu2.

Cell lengths 6.7848, 6.7848, 2.7801 Å; angles 90.00, 90.00, 90.00 degrees
Element x y z (fractional)
Be 0.1568 0.6568 0.5000
Be 0.6568 0.8432 0.5000
Be 0.8432 0.3432 0.5000
Be 0.3432 0.1568 0.5000
Cu 0.3681 0.8681 0.0000
Cu 0.8681 0.6319 0.0000
Cu 0.6319 0.1319 0.0000
Cu 0.1319 0.3681 0.0000
In 0.0000 0.0000 0.0000
In 0.5000 0.5000 0.0000

For the polymorph energy (0 for the lowest one), the calculation gives 0.049 eV/atom. Its crystal system is tetragonal. The calculation puts the calculated formation energy at 199.9 meV/atom. Its uncorrected energy is -3.477 eV/atom.



Entry 2:
DFT (PBE) results for an optimized crystal structure of Be3InCu.

Cell lengths 4.1448, 4.1448, 4.1448 Å; angles 90.00, 90.00, 90.00 degrees
Element x y z (fractional)
Be 0.0000 0.5000 0.0000
Be 0.0000 0.0000 0.5000
Be 0.5000 0.0000 0.0000
Cu 0.0000 0.0000 0.0000
In 0.5000 0.5000 0.5000

For the polymorph energy (0 for the lowest one), the calculation gives 0.000 eV/atom. Its crystal system is cubic. The calculation puts the calculated formation energy at 564.4 meV/atom. Its uncorrected energy is -3.038 eV/atom.



Entry 3:
DFT (PBE) results for an optimized crystal structure of Be4InCu8.

Cell lengths 4.5975, 6.1405, 6.1405 Å; angles 81.94, 68.02, 68.02 degrees
Element x y z (fractional)
Be 0.0000 0.0000 0.5000
Be 0.5000 0.0000 0.5000
Be 0.0000 0.5000 0.0000
Be 0.5000 0.5000 0.0000
In 0.0000 0.0000 0.0000
Cu 0.0000 0.3476 0.6524
Cu 0.0000 0.6524 0.3476
Cu 0.3476 0.6524 0.6524
Cu 0.6524 0.3476 0.3476
Cu 0.5000 0.7805 0.2195
Cu 0.5000 0.2195 0.7805
Cu 0.2805 0.2195 0.2195
Cu 0.7195 0.7805 0.7805

Its crystal system is tetragonal. The calculation puts the calculated formation energy at -36.3 meV/atom. Its uncorrected energy is -3.914 eV/atom.



Entry 4:
DFT (PBE) results for an optimized crystal structure of BeInCu3.

Cell lengths 4.1582, 4.1582, 4.1582 Å; angles 90.00, 90.00, 90.00 degrees
Element x y z (fractional)
Be 0.0000 0.0000 0.0000
Cu 0.0000 0.5000 0.0000
Cu 0.0000 0.0000 0.5000
Cu 0.5000 0.0000 0.0000
In 0.5000 0.5000 0.5000

For the polymorph energy (0 for the lowest one), the calculation gives 0.000 eV/atom. Its crystal system is cubic. The calculation puts the calculated formation energy at 297.4 meV/atom. Its uncorrected energy is -3.453 eV/atom.